5
Lattice="-2.147 -0.433 4.231 2.581 -3.899 0.911 3.380 2.703 1.992" Properties=species:S:1:pos:R:3 comment="LiTaIn3 | Alexandria | GGA-PBE | relaxed" volume_a3_per_cell=108.1 ef_ev_per_fu=4.20 polymorph_energy_mev_per_atom=319 pbc="T T T"
In -1.074 -0.216 2.115
In 1.291 -1.950 0.456
In 1.690 1.351 0.996
Ta 1.907 -0.815 3.567
Li 0.000 0.000 0.000